This record from Alexandria via LeMat-Bulk describes crystalline SmHoSi2Pt5 at its relaxed geometry. The functional is GGA-PBE.

Computed properties:
- energy relative to the elements, uncorrected (eV per atom) = -1.07
- DOS(E_F) (states/eV per cell) = 3.434
- E (eV for the cell shown) = -59.965
- crystal system = tetragonal

Geometry as POSCAR:
```
SmHoSi2Pt5
1.0
4.217 0.000 0.000
0.000 4.217 0.000
0.000 0.000 8.967
Sm Ho Si Pt
1 1 2 5
Direct
0.000 0.000 0.000 Sm
0.000 0.000 0.500 Ho
0.500 0.500 0.369 Si
0.500 0.500 0.631 Si
0.000 0.500 0.239 Pt
0.000 0.500 0.761 Pt
0.500 0.000 0.239 Pt
0.500 0.000 0.761 Pt
0.500 0.500 0.000 Pt
```

This record from Alexandria via LeMat-Bulk describes crystalline ErLuC at its relaxed geometry. The functional is GGA-PBE.

Computed properties:
- energy relative to the lowest polymorph listed for this composition (eV per formula unit) = 1.63
- calculated formation energy (meV per atom) = 226
- DOS(E_F) (states/eV per cell) = 2.226
- E (eV for the cell shown) = -17.631
- crystal system = tetragonal

Geometry as POSCAR:
```
ErLuC
1.0
-1.561 1.561 5.888
1.561 -1.561 5.888
1.561 1.561 -5.888
Er Lu C
1 1 1
Direct
0.000 0.000 0.000 Er
0.768 0.768 0.000 Lu
0.382 0.382 0.000 C
```

This record from Alexandria via LeMat-Bulk describes crystalline Ba6AsS3Br2 at its relaxed geometry. The functional is GGA-PBE.

Computed properties:
- energy relative to the elements, uncorrected (eV per atom) = -1.85
- DOS(E_F) (states/eV per cell) = 3.634
- E (eV for the cell shown) = -54.162
- crystal system = monoclinic

Geometry as POSCAR:
```
Ba6AsS3Br2
1.0
4.027 -6.967 0.000
4.027 6.967 0.000
-2.686 0.000 7.646
Ba As S Br
6 1 3 2
Direct
0.090 0.407 0.769 Ba
0.228 0.228 0.234 Ba
0.407 0.090 0.769 Ba
0.593 0.910 0.231 Ba
0.772 0.772 0.766 Ba
0.910 0.593 0.231 Ba
0.000 0.000 0.500 As
0.169 0.831 0.000 S
0.500 0.500 0.000 S
0.831 0.169 0.000 S
0.333 0.667 0.500 Br
0.667 0.333 0.500 Br
```

This record from Alexandria via LeMat-Bulk describes crystalline Pr8C3S3O at its relaxed geometry. The functional is GGA-PBE.

Computed properties:
- energy relative to the elements, uncorrected (eV per atom) = -1.20
- DOS(E_F) (states/eV per cell) = 8.344
- E (eV for the cell shown) = -101.186
- crystal system = trigonal

Geometry as POSCAR:
```
Pr8C3S3O
1.0
3.884 2.242 6.611
-3.884 2.242 6.611
0.000 -4.485 6.611
Pr C S O
8 3 3 1
Direct
0.234 0.741 0.741 Pr
0.241 0.241 0.241 Pr
0.259 0.259 0.766 Pr
0.259 0.766 0.259 Pr
0.741 0.234 0.741 Pr
0.741 0.741 0.234 Pr
0.759 0.759 0.759 Pr
0.766 0.259 0.259 Pr
0.000 0.000 0.500 C
0.000 0.500 0.000 C
0.500 0.000 0.000 C
0.000 0.500 0.500 S
0.500 0.000 0.500 S
0.500 0.500 0.000 S
0.500 0.500 0.500 O
```